# NaPmB4 GGA-PBE relaxed
# - Total moment: 0.00 μB per atom
# - Volume: 12.3 Å³ per atom
# - Uncorrected energy: -5.415 eV/atom
# - E above lowest polymorph: 0.049 eV per atom
data_NaPmB4
_space_group_name_H-M_alt 'P 6/m m m'
_space_group_IT_number 191
_space_group_name_Hall '-P 6 2'
_cell_length_a 3.1842
_cell_length_b 3.1842
_cell_length_c 8.3752
_cell_angle_alpha 90.00
_cell_angle_beta 90.00
_cell_angle_gamma 120.00
loop_
_atom_site_label
_atom_site_fract_x
_atom_site_fract_y
_atom_site_fract_z
_atom_site_occupancy
Na1 0.0000 0.0000 0.0000 1
Pm1 0.0000 0.0000 0.5000 1
B1 0.3333 0.6667 0.2525 1

***

# LiTmSO4F GGA-PBE relaxed
# - Total moment: 0.13 μB per atom
# - Volume: 11.9 Å³ per atom
# - Uncorrected energy: -6.171 eV/atom
data_LiTmSO4F
_space_group_name_H-M_alt 'P -1'
_space_group_IT_number 2
_space_group_name_Hall '-P 1'
_cell_length_a 5.1848
_cell_length_b 5.4958
_cell_length_c 7.3908
_cell_angle_alpha 69.82
_cell_angle_beta 74.58
_cell_angle_gamma 87.27
loop_
_atom_site_label
_atom_site_fract_x
_atom_site_fract_y
_atom_site_fract_z
_atom_site_occupancy
Li1 0.0139 0.1071 0.2001 1
Tm1 0.0000 0.5000 0.5000 1
Tm2 0.5000 0.5000 0.0000 1
S1 0.4516 0.1542 0.7521 1
O1 0.2342 0.8765 0.3634 1
O2 0.2410 0.2578 0.9203 1
O3 0.3311 0.2643 0.5766 1
O4 0.3503 0.8673 0.8401 1
F1 0.1293 0.4159 0.2304 1

***

# NiSnHg2 GGA-PBE relaxed
# - Total moment: 0.00 μB per atom
# - Volume: 20.9 Å³ per atom
# - Uncorrected energy: -2.218 eV/atom
data_NiSnHg2
_space_group_name_H-M_alt 'F -4 3 m'
_space_group_IT_number 216
_space_group_name_Hall 'F -4 2 3'
_cell_length_a 6.9439
_cell_length_b 6.9439
_cell_length_c 6.9439
_cell_angle_alpha 90.00
_cell_angle_beta 90.00
_cell_angle_gamma 90.00
loop_
_atom_site_label
_atom_site_fract_x
_atom_site_fract_y
_atom_site_fract_z
_atom_site_occupancy
Ni1 0.0000 0.0000 0.0000 1
Sn1 0.2500 0.2500 0.7500 1
Hg1 0.0000 0.0000 0.5000 1
Hg2 0.2500 0.2500 0.2500 1

***

# Ho2Er2InCu2Ge4 GGA-PBE relaxed
# - Total moment: 0.00 μB per atom
# - Volume: 20.1 Å³ per atom
# - Uncorrected energy: -4.952 eV/atom
data_Ho2Er2InCu2Ge4
_space_group_name_H-M_alt 'C 1 2/m 1'
_space_group_IT_number 12
_space_group_name_Hall '-C 2y'
_cell_length_a 15.5287
_cell_length_b 4.2261
_cell_length_c 7.1002
_cell_angle_alpha 90.00
_cell_angle_beta 108.06
_cell_angle_gamma 90.00
loop_
_atom_site_label
_atom_site_fract_x
_atom_site_fract_y
_atom_site_fract_z
_atom_site_occupancy
Ho1 0.1519 0.0000 0.4308 1
Er1 0.0884 0.0000 0.8818 1
In1 0.0000 0.5000 0.5000 1
Cu1 0.2181 0.5000 0.1281 1
Ge1 0.0636 0.5000 0.1592 1
Ge2 0.1979 0.5000 0.7466 1

***

# Sb3PtN4 GGA-PBE relaxed
# - Total moment: 0.00 μB per atom
# - Volume: 13.9 Å³ per atom
# - Uncorrected energy: -5.510 eV/atom
data_Sb3PtN4
_space_group_name_H-M_alt 'P m -3 m'
_space_group_IT_number 221
_space_group_name_Hall '-P 4 2 3'
_cell_length_a 4.8092
_cell_length_b 4.8092
_cell_length_c 4.8092
_cell_angle_alpha 90.00
_cell_angle_beta 90.00
_cell_angle_gamma 90.00
loop_
_atom_site_label
_atom_site_fract_x
_atom_site_fract_y
_atom_site_fract_z
_atom_site_occupancy
Sb1 0.0000 0.0000 0.5000 1
Pt1 0.5000 0.5000 0.5000 1
N1 0.0000 0.0000 0.0000 1
N2 0.0000 0.5000 0.5000 1

***

# ZrFeCuGe GGA-PBE relaxed
# - Total moment: 0.44 μB per atom
# - Volume: 15.4 Å³ per atom
# - Uncorrected energy: -6.331 eV/atom
# - E above lowest polymorph: 0.126 eV per atom
data_ZrFeCuGe
_space_group_name_H-M_alt 'F -4 3 m'
_space_group_IT_number 216
_space_group_name_Hall 'F -4 2 3'
_cell_length_a 6.2672
_cell_length_b 6.2672
_cell_length_c 6.2672
_cell_angle_alpha 90.00
_cell_angle_beta 90.00
_cell_angle_gamma 90.00
loop_
_atom_site_label
_atom_site_fract_x
_atom_site_fract_y
_atom_site_fract_z
_atom_site_occupancy
Zr1 0.0000 0.0000 0.0000 1
Fe1 0.2500 0.2500 0.7500 1
Cu1 0.0000 0.0000 0.5000 1
Ge1 0.2500 0.2500 0.2500 1

***

# BeNbAl GGA-PBE relaxed
# - Total moment: 0.00 μB per atom
# - Volume: 16.7 Å³ per atom
# - Uncorrected energy: -5.282 eV/atom
# - E above lowest polymorph: 0.923 eV per atom
data_BeNbAl
_space_group_name_H-M_alt 'F -4 3 m'
_space_group_IT_number 216
_space_group_name_Hall 'F -4 2 3'
_cell_length_a 5.8495
_cell_length_b 5.8495
_cell_length_c 5.8495
_cell_angle_alpha 90.00
_cell_angle_beta 90.00
_cell_angle_gamma 90.00
loop_
_atom_site_label
_atom_site_fract_x
_atom_site_fract_y
_atom_site_fract_z
_atom_site_occupancy
Be1 0.0000 0.0000 0.0000 1
Nb1 0.0000 0.0000 0.5000 1
Al1 0.2500 0.2500 0.2500 1

***

# HgH36C34S2Br2N6O6 GGA-PBE relaxed
# - Volume: 10.6 Å³ per atom
# - Uncorrected energy: -6.221 eV/atom
data_HgH36C34S2Br2N6O6
_space_group_name_H-M_alt 'C 1 2 1'
_space_group_IT_number 5
_space_group_name_Hall 'C 2y'
_cell_length_a 13.0058
_cell_length_b 12.6108
_cell_length_c 11.7748
_cell_angle_alpha 90.00
_cell_angle_beta 107.40
_cell_angle_gamma 90.00
loop_
_atom_site_label
_atom_site_fract_x
_atom_site_fract_y
_atom_site_fract_z
_atom_site_occupancy
Hg1 0.0000 0.0000 0.0000 1
H1 0.0248 0.0539 0.2728 1
H2 0.0522 0.2083 0.4106 1
H3 0.0637 0.8047 0.2781 1
H4 0.1018 0.0818 0.5440 1
H5 0.1085 0.7923 0.7500 1
H6 0.1103 0.6781 0.9219 1
H7 0.1253 0.2267 0.0253 1
H8 0.1272 0.4811 0.9052 1
H9 0.1285 0.4734 0.3169 1
H10 0.1367 0.5708 0.4547 1
H11 0.1402 0.4023 0.7169 1
H12 0.1428 0.8637 0.1925 1
H13 0.1520 0.3888 0.1495 1
H14 0.1587 0.2209 0.7391 1
H15 0.1934 0.1238 0.8580 1
H16 0.1989 0.9108 0.5831 1
H17 0.2089 0.8138 0.3407 1
H18 0.2271 0.2620 0.8906 1
C1 0.0548 0.1293 0.2495 1
C2 0.0560 0.0082 0.5236 1
C3 0.0565 0.8164 0.5223 1
C4 0.0691 0.2148 0.3262 1
C5 0.1033 0.3121 0.2913 1
C6 0.1084 0.2259 0.1107 1
C7 0.1117 0.9123 0.5460 1
C8 0.1133 0.7064 0.7428 1
C9 0.1157 0.6418 0.8398 1
C10 0.1182 0.6615 0.6371 1
C11 0.1231 0.3162 0.1800 1
C12 0.1237 0.4103 0.4781 1
C13 0.1248 0.5325 0.8300 1
C14 0.1302 0.5512 0.6265 1
C15 0.1335 0.4875 0.7252 1
C16 0.1412 0.8035 0.2595 1
C17 0.2167 0.1984 0.8242 1
S1 0.1543 0.6757 0.1982 1
Br1 0.1546 0.9226 0.9331 1
N1 0.0734 0.1335 0.1431 1
N2 0.1168 0.4032 0.3580 1
N3 0.1345 0.5138 0.5163 1
O1 0.1137 0.7218 0.5370 1
O2 0.1226 0.3325 0.5418 1
O3 0.1754 0.5978 0.3015 1

***

Q: Number 3 is which compound?
A: NiSnHg2

***

Q: volume of number 7 (BeNbAl)?
A: 16.7 Å³ per atom